# Li5ZnHg2, optimized geometry, DFT PBE
data_Li5ZnHg2
_cell_length_a 4.6813
_cell_length_b 4.6813
_cell_length_c 12.6111
_cell_angle_alpha 90.00
_cell_angle_beta 90.00
_cell_angle_gamma 90.00
_space_group_name_H-M_alt 'I 4/m m m'
_space_group_IT_number 139
_space_group_name_Hall '-I 4 2'
loop_
_atom_site_label
_atom_site_fract_x
_atom_site_fract_y
_atom_site_fract_z
_atom_site_occupancy
Li1 0.0000 0.0000 0.0000 1
Li2 0.0000 0.5000 0.1244 1
Zn1 0.0000 0.0000 0.5000 1
Hg1 0.0000 0.0000 0.2491 1
# Excess energy over the best structure of this formula in the dataset, meV per atom: 0.0
# V, A^3/atom: 17.27
# Energy of formation, eV per atom: -0.2393
# Total magnetic moment, μB/atom: 0.0000